(1)
Material: Mn2AlCd
Method: DFT, meta-GGA SCAN
State: PBEsol geometry

abc: 3.7228 3.9452 3.9452
angles: 90.00 90.00 90.00
Last column: nearest neighbours and their distance in Å.
Fractional coordinates of all 4 atoms:
Mn 0.0000 0.0000 0.5000  4 Cd 2.71, 4 Al 2.71, 4 Mn 2.79
Mn 0.0000 0.5000 0.0000  4 Al 2.71, 4 Cd 2.71, 4 Mn 2.79
Al 0.5000 0.5000 0.5000  8 Mn 2.71, 4 Cd 2.79
Cd 0.5000 0.0000 0.0000  8 Mn 2.71, 4 Al 2.79

## Properties
ΔE_f ... -0.1107 eV/atom
Uncorrected energy ... -18.780 eV/atom

(2)
Material: MnAl2Cd
Method: DFT, meta-GGA SCAN
State: PBEsol geometry

abc: 3.8669 3.8669 4.8364
angles: 113.56 113.56 90.00
Last column: nearest neighbours and their distance in Å.
Fractional coordinates of all 4 atoms:
Mn 0.0000 0.0000 0.0000  4 Cd 2.73, 8 Al 2.78
Al 0.7500 0.2500 0.5000  4 Al 2.73, 4 Cd 2.78, 4 Mn 2.78
Al 0.2500 0.7500 0.5000  4 Al 2.73, 4 Cd 2.78, 4 Mn 2.78
Cd 0.5000 0.5000 0.0000  4 Mn 2.73, 8 Al 2.78

## Properties
ΔE_f ... -0.0209 eV/atom
Uncorrected energy ... -16.064 eV/atom

(3)
Material: MnAlCd3
Method: DFT, meta-GGA SCAN
State: PBEsol geometry

abc: 5.0425 5.0425 5.0425
angles: 90.00 90.00 90.00
Last column: nearest neighbours and their distance in Å.
Fractional coordinates of all 5 atoms:
Mn 0.0000 0.0000 0.0000  6 Cd 2.52
Al 0.5000 0.5000 0.5000  12 Cd 3.57
Cd 0.0000 0.5000 0.0000  2 Mn 2.52
Cd 0.0000 0.0000 0.5000  2 Mn 2.52
Cd 0.5000 0.0000 0.0000  2 Mn 2.52

## Properties
ΔE_f ... 0.6873 eV/atom
Uncorrected energy ... -22.763 eV/atom

(4)
Material: MnAl2Cd
Method: DFT, meta-GGA SCAN
State: PBEsol geometry

abc: 4.5257 4.5257 4.5257
angles: 60.00 60.00 60.00
Last column: nearest neighbours and their distance in Å.
Fractional coordinates of all 4 atoms:
Mn 0.2500 0.2500 0.2500  4 Cd 2.77, 4 Al 2.77
Al 0.0000 0.0000 0.0000  4 Al 2.77, 4 Mn 2.77
Al 0.7500 0.7500 0.7500  4 Cd 2.77, 4 Al 2.77
Cd 0.5000 0.5000 0.5000  4 Mn 2.77, 4 Al 2.77

## Properties
ΔE_f ... 0.1118 eV/atom
Uncorrected energy ... -15.931 eV/atom

(5)
Material: AlCd2Mo
Method: DFT, meta-GGA SCAN
State: PBEsol geometry

abc: 3.9281 3.9281 4.4114
angles: 90.00 90.00 90.00
Last column: nearest neighbours and their distance in Å.
Fractional coordinates of all 4 atoms:
Mo 0.5000 0.5000 0.5000  4 Al 2.78, 8 Cd 2.95
Al 0.0000 0.0000 0.5000  4 Mo 2.78, 8 Cd 2.95
Cd 0.0000 0.5000 0.0000  4 Cd 2.78, 4 Mo 2.95, 4 Al 2.95
Cd 0.5000 0.0000 0.0000  4 Cd 2.78, 4 Al 2.95, 4 Mo 2.95

## Properties
ΔE_f ... 0.1773 eV/atom
Uncorrected energy ... -25.689 eV/atom

(6)
Material: AlCd2Mo
Method: DFT, meta-GGA SCAN
State: PBEsol geometry

abc: 4.6058 4.6058 4.6058
angles: 60.00 60.00 60.00
Last column: nearest neighbours and their distance in Å.
Fractional coordinates of all 4 atoms:
Mo 0.2500 0.2500 0.2500  4 Cd 2.82, 4 Al 2.82
Al 0.5000 0.5000 0.5000  4 Cd 2.82, 4 Mo 2.82
Cd 0.0000 0.0000 0.0000  4 Mo 2.82, 4 Cd 2.82
Cd 0.7500 0.7500 0.7500  4 Cd 2.82, 4 Al 2.82

## Properties
ΔE_f ... 0.4237 eV/atom
Uncorrected energy ... -25.443 eV/atom